A relaxed structure of InC3N, computed with GGA-PBE.

Calculated values
- Offset from the most stable computed form: 1.106 eV/atom
- Formation energy (no corrections): 4.268 eV per atom
- Space group: Pm-3m

Cell and atoms, written as CIF:
```
data_InC3N
_cell_length_a 4.451
_cell_length_b 4.451
_cell_length_c 4.451
_cell_angle_alpha 90.00
_cell_angle_beta 90.00
_cell_angle_gamma 90.00
_space_group_name_H-M_alt 'P 1'
_space_group_IT_number 1
_space_group_name_Hall 'P 1'
loop_
_atom_site_label
_atom_site_fract_x
_atom_site_fract_y
_atom_site_fract_z
_atom_site_occupancy
C1 0.000 0.000 0.500 1
N1 0.500 0.500 0.500 1
C2 0.000 0.500 0.000 1
C3 0.500 0.000 0.000 1
In1 0.000 0.000 0.000 1
```